Sm2Dy6TmSc (PBE, relaxed); total moment = 0.000 μB/atom; energy relative to the elements = 0.124 eV per atom; density of states at the Fermi level = 25.8 states/eV per cell; SG = No. 15
1.0
-2.491 8.793 2.723
-5.500 -0.218 -6.687
-2.541 -3.739 7.388
Sm Dy Tm Sc
4 12 2 2
Direct
0.455 0.802 0.701
0.045 0.299 0.198
0.545 0.198 0.299
0.955 0.701 0.802
0.056 0.126 0.748
0.444 0.252 0.874
0.944 0.874 0.252
0.556 0.748 0.126
0.309 0.990 0.429
0.191 0.571 0.010
0.691 0.010 0.571
0.809 0.429 0.990
0.117 0.706 0.497
0.383 0.503 0.294
0.883 0.294 0.503
0.617 0.497 0.706
0.250 0.981 0.019
0.750 0.019 0.981
0.250 0.411 0.589
0.750 0.589 0.411